Compound: Cd2H3Rh2
Source: Alexandria
Functional: PBE-GGA
Structure: relaxed

The total magnetization comes out at 0.00 μB/f.u. The density of states at the Fermi level is 0.239 states/eV per atom. As for the mass density: 9.110 Mg/m³. For the total energy, the calculation gives -3.859 eV per atom. As for the space-group type: P-1, No. 2.

Cell lengths 3.0814, 5.2060, 4.9338 Å; angles 91.98, 89.60, 92.02 degrees
Sites, in units of the cell vectors:
Cd (0.7549, 0.7644, 0.6060)
Cd (0.2451, 0.2356, 0.3940)
H (0.0000, 0.0000, 0.0000)
H (0.7676, 0.5640, 0.1300)
H (0.2324, 0.4360, 0.8700)
Rh (0.7342, 0.2641, 0.8919)
Rh (0.2658, 0.7359, 0.1081)